(w)
## SbRuPt (PBE)

Data for a relaxed SbRuPt crystal.

```
SbRuPt
1.0
-2.4318 4.6879 1.2445
-2.4122 2.8793 3.9147
2.2398 1.9295 1.2890
Ru Sb Pt
1 1 1
direct
0.3188 0.3188 0.6812
0.6735 0.6735 0.3265
0.0077 0.0077 0.9923
```

- space-group type = I4mm (107)

---

(x)
## SbRuPt (PBE)

Data for a relaxed SbRuPt crystal.

```
SbRuPt
1.0
4.3149 0.0000 0.0000
2.1574 3.7368 0.0000
2.1574 1.2456 3.5231
Sb Pt Ru
1 1 1
direct
0.7500 0.7500 0.7500
0.0000 0.0000 0.0000
0.5000 0.5000 0.5000
```

- space-group type = F-43m (216)

---

(y)
## SbRuPt (PBE)

Data for a relaxed SbRuPt crystal.

```
SbRuPt
1.0
-0.0288 -1.7898 3.9587
-2.3285 -1.7813 -3.2063
2.5107 -1.8276 -0.8080
Sb Ru Pt
1 1 1
direct
0.3333 0.6667 0.6446
0.6667 0.3333 0.4137
0.0000 0.0000 0.9417
```

- space-group type = P3m1 (156)

---

Most stable: (x) (next structure +123 meV/atom)

---

(w)
## SbRuPt (PBE)

Data for a relaxed SbRuPt crystal.

```
SbRuPt
1.0
3.1359 0.0000 0.0000
-1.5680 2.7158 0.0000
0.0000 0.0000 6.1909
Pt Sb Ru
1 1 1
direct
0.0000 0.0000 0.9985
0.6667 0.3333 0.6571
0.3333 0.6667 0.3444
```

- space-group type = P3m1 (156)

---

(x)
## SbRuPt (PBE)

Data for a relaxed SbRuPt crystal.

```
SbRuPt
1.0
3.1448 0.0000 0.0000
-1.5724 2.7237 0.0000
0.0000 0.0000 13.0162
Ru Pt Sb
2 2 2
direct
0.6666 0.3332 0.3424
0.6666 0.3332 0.6576
0.3332 0.6665 0.5000
0.3337 0.6673 0.0000
0.3333 0.6665 0.8026
0.3333 0.6665 0.1974
```

- space-group type = P-6m2 (187)

---

Most stable: (w) (next structure +11 meV/atom)

---

(w)
## Sb4RuPt (PBE)

Data for a relaxed Sb4RuPt crystal.

```
Sb4RuPt
1.0
-1.9452 -4.6757 4.1447
4.7036 1.7479 4.1792
-3.9846 4.3917 2.6478
Sb Pt Ru
8 2 2
direct
0.3599 0.3662 0.3856
0.1401 0.8662 0.6144
0.8813 0.6269 0.1315
0.6187 0.1269 0.8685
0.3813 0.8731 0.1315
0.1187 0.3731 0.8685
0.8599 0.1338 0.3856
0.6401 0.6338 0.6144
0.5000 0.5000 0.0000
0.0000 0.0000 0.0000
0.0000 0.5000 0.5000
0.5000 0.0000 0.5000
```

- space-group type = P2_1/c (14)

---

(x)
## Sb4RuPt (PBE)

Data for a relaxed Sb4RuPt crystal.

```
Sb4RuPt
1.0
1.3885 0.5511 5.7426
-4.2812 0.8548 4.0187
-1.3922 -4.3243 3.8173
Sb Pt Ru
4 1 1
direct
0.3749 0.3749 0.3749
0.3749 0.3749 0.8753
0.8753 0.3749 0.3749
0.3749 0.8753 0.3749
0.7500 0.7500 0.7500
0.0000 0.0000 0.0000
```

- space-group type = F-43m (216)

---

Most stable: (w) (next structure +1296 meV/atom)

---

(w)
## SbTe2RuPt (PBE)

Data for a relaxed SbTe2RuPt crystal.

```
SbTe2RuPt
1.0
-1.3442 4.7034 1.5519
-3.9703 -0.0619 -3.2512
-2.8743 -1.9921 3.5480
Sb Pt Ru Te
1 1 1 2
direct
0.0000 0.0000 0.5000
0.5000 0.5000 0.5000
0.0000 0.0000 0.0000
0.0000 0.5000 0.0000
0.5000 0.0000 0.0000
```

- space-group type = P4/mmm (123)

---

(x)
## SbTe2RuPt (PBE)

Data for a relaxed SbTe2RuPt crystal.

```
SbTe2RuPt
1.0
-3.3701 -0.9045 -4.0710
-2.1341 -4.1228 2.6827
-3.3811 3.1204 2.1057
Pt Te Sb Ru
1 2 1 1
direct
0.0000 0.0000 0.0000
0.5000 0.0000 0.0000
0.0000 0.5000 0.0000
0.0000 0.0000 0.5000
0.5000 0.5000 0.5000
```

- space-group type = P4/mmm (123)

---

Most stable: (w) (next structure +280 meV/atom)

---

(w)
## ScRuPt (PBE)

Data for a relaxed ScRuPt crystal.

```
ScRuPt
1.0
2.9642 0.0000 0.0000
-1.4821 4.2372 -0.7770
0.0000 -3.3274 8.9344
Pt Sc Ru
2 2 2
direct
0.0775 0.1550 0.8986
0.9225 0.8450 0.1014
0.2803 0.5606 0.2467
0.7197 0.4394 0.7533
0.1082 0.2164 0.4549
0.8918 0.7836 0.5451
```

- space-group type = C2/m (12)

---

(x)
## ScRuPt (PBE)

Data for a relaxed ScRuPt crystal.

```
ScRuPt
1.0
4.3330 0.0000 0.0000
2.1665 3.7525 0.0000
2.1665 1.2508 3.5378
Pt Sc Ru
1 1 1
direct
0.5000 0.5000 0.5000
0.0000 0.0000 0.0000
0.7500 0.7500 0.7500
```

- space-group type = F-43m (216)

---

(y)
## ScRuPt (PBE)

Data for a relaxed ScRuPt crystal.

```
ScRuPt
1.0
4.4777 0.0000 0.0000
-2.2388 3.8778 0.0000
0.0000 0.0000 2.8030
Sc Ru Pt
1 1 1
direct
0.3333 0.6667 0.5950
0.6667 0.3333 0.4329
0.0000 0.0000 0.9721
```

- space-group type = P3m1 (156)

---

Most stable: (w) (next structure +66 meV/atom)

---

(w)
## ScRuPt (PBE)

Data for a relaxed ScRuPt crystal.

```
ScRuPt
1.0
-2.7191 2.3950 -3.4865
1.2684 0.0726 -4.8653
-1.0555 -2.8462 4.0088
Pt Sc Ru
1 1 1
direct
0.9990 0.9990 0.0000
0.6694 0.6694 0.0000
0.3316 0.3316 0.0000
```

- space-group type = Imm2 (44)

---

(x)
## ScRuPt (PBE)

Data for a relaxed ScRuPt crystal.

```
ScRuPt
1.0
4.3013 0.0000 0.0000
2.1507 3.7251 0.0000
2.1507 1.2417 3.5120
Pt Ru Sc
1 1 1
direct
0.0000 0.0000 0.0000
0.5000 0.5000 0.5000
0.7500 0.7500 0.7500
```

- space-group type = F-43m (216)

---

Most stable: (w) (next structure +413 meV/atom)

---

(w)
## TbScRuPt (PBE)

Data for a relaxed TbScRuPt crystal.

```
TbScRuPt
1.0
-0.0488 1.0192 -3.2268
-2.9015 -1.6732 -0.4846
-3.3956 5.3809 1.7511
Ru Pt Sc Tb
1 1 1 1
direct
0.0000 0.0000 0.3752
0.0000 0.0000 0.8403
0.5000 0.5000 0.5999
0.5000 0.5000 0.1126
```

- space-group type = P4mm (99)

---

(x)
## TbScRuPt (PBE)

Data for a relaxed TbScRuPt crystal.

```
TbScRuPt
1.0
-4.1568 0.8114 2.1470
-3.3139 -3.3986 0.1191
-1.0223 -2.1768 4.0943
Ru Tb Pt Sc
1 1 1 1
direct
0.2500 0.2500 0.2500
0.0000 0.0000 0.0000
0.7500 0.7500 0.7500
0.5000 0.5000 0.5000
```

- space-group type = F-43m (216)

---

Most stable: (w) (next structure +58 meV/atom)

---

(w)
## TbSmRuPt (PBE)

Data for a relaxed TbSmRuPt crystal.

```
TbSmRuPt
1.0
-0.0148 -3.9736 2.9248
3.0189 -3.7822 -0.9616
3.8453 -0.9007 2.9573
Sm Pt Ru Tb
1 1 1 1
direct
0.5000 0.5000 0.5000
0.7500 0.7500 0.7500
0.2500 0.2500 0.2500
0.0000 0.0000 0.0000
```

- space-group type = F-43m (216)

---

(x)
## TbSmRuPt (PBE)

Data for a relaxed TbSmRuPt crystal.

```
TbSmRuPt
1.0
3.4906 0.0000 0.0000
0.0000 3.4906 0.0000
0.0000 0.0000 6.9773
Sm Ru Tb Pt
1 1 1 1
direct
0.5000 0.5000 0.1133
0.0000 0.0000 0.3630
0.5000 0.5000 0.6027
0.0000 0.0000 0.8489
```

- space-group type = P4mm (99)

---

Most stable: (x) (next structure +44 meV/atom)

---

(w)
## SmYRuPt (PBE)

Data for a relaxed SmYRuPt crystal.

```
SmYRuPt
1.0
-1.0772 -4.7544 0.7366
0.4933 -1.9721 4.4916
-4.0005 -1.2474 2.5975
Y Ru Sm Pt
1 1 1 1
direct
0.0000 0.0000 0.0000
0.7500 0.7500 0.7500
0.5000 0.5000 0.5000
0.2500 0.2500 0.2500
```

- space-group type = F-43m (216)

---

(x)
## SmYRuPt (PBE)

Data for a relaxed SmYRuPt crystal.

```
SmYRuPt
1.0
-1.8739 -0.2809 2.9406
-0.2799 -3.4498 -0.5079
5.8258 -1.0050 3.6164
Pt Y Sm Ru
1 1 1 1
direct
0.0000 0.0000 0.8508
0.5000 0.5000 0.6029
0.5000 0.5000 0.1131
0.0000 0.0000 0.3612
```

- space-group type = P4mm (99)

---

Most stable: (x) (next structure +43 meV/atom)

---

(w)
## SrRuPt2 (PBE)

Data for a relaxed SrRuPt2 crystal.

```
SrRuPt2
1.0
-4.3770 -3.2337 2.4496
0.9013 -3.5455 4.7151
-0.1232 5.3604 -2.6204
Pt Sr Ru
2 1 1
direct
0.9776 0.9776 0.0000
0.7447 0.2447 0.5000
0.2497 0.7497 0.5000
0.5280 0.5280 0.0000
```

- space-group type = Imm2 (44)

---

(x)
## SrRuPt2 (PBE)

Data for a relaxed SrRuPt2 crystal.

```
SrRuPt2
1.0
-1.3673 -2.5905 3.7228
3.1788 -2.5719 2.3917
1.2763 1.2853 4.3770
Sr Ru Pt
1 1 2
direct
0.2500 0.2500 0.2500
0.5000 0.5000 0.5000
0.7500 0.7500 0.7500
0.0000 0.0000 0.0000
```

- space-group type = F-43m (216)

---

Most stable: (w) (next structure +156 meV/atom)

---

(w)
## SrRuPt2 (PBE)

Data for a relaxed SrRuPt2 crystal.

```
SrRuPt2
1.0
5.0616 0.0000 0.0000
0.0000 5.0616 0.0000
2.5308 2.5308 8.3933
Sr Pt Ru
2 4 2
direct
0.5000 0.5000 0.0000
0.2500 0.7500 0.5000
0.3750 0.1760 0.7500
0.8240 0.1250 0.2500
0.9260 0.6250 0.2500
0.8750 0.0740 0.7500
0.0000 0.0000 0.0000
0.7500 0.2500 0.5000
```

- space-group type = I-42d (122)

---

(x)
## SrRuPt2 (PBE)

Data for a relaxed SrRuPt2 crystal.

```
SrRuPt2
1.0
-0.1231 -3.6051 2.8252
0.3804 -4.5639 0.1422
6.3261 -0.2790 1.2868
Ru Pt Sr
1 2 1
direct
0.7500 0.7500 0.7500
0.0077 0.0077 0.9302
0.4923 0.4923 0.5698
0.2500 0.2500 0.2500
```

- space-group type = C2/m (12)

---

(y)
## SrRuPt2 (PBE)

Data for a relaxed SrRuPt2 crystal.

```
SrRuPt2
1.0
3.2329 0.0000 0.0000
0.0000 3.2329 0.0000
0.0000 0.0000 7.4846
Pt Ru Sr
2 1 1
direct
0.0000 0.0000 0.0488
0.5000 0.5000 0.2618
0.0000 0.0000 0.4352
0.5000 0.5000 0.7542
```

- space-group type = P4mm (99)

---

Most stable: (x) (next structure +7 meV/atom)

---

(w)
## SrRuPt2 (PBE)

Data for a relaxed SrRuPt2 crystal.

```
SrRuPt2
1.0
-3.9953 2.3232 0.7791
-0.5629 -0.0197 -2.8277
-2.7867 -4.8619 0.2074
Pt Ru Sr
2 1 1
direct
0.0000 0.1400 0.0034
0.5000 0.1190 0.3056
0.0000 0.5808 0.4013
0.5000 0.6601 0.7897
```

- space-group type = Pm (6)

---

(x)
## SrRuPt2 (PBE)

Data for a relaxed SrRuPt2 crystal.

```
SrRuPt2
1.0
4.9532 0.0060 -0.0023
4.0885 2.7961 -0.0023
0.8877 0.2751 5.6079
Ru Sr Pt
1 1 2
direct
0.4890 0.4890 0.5858
0.2489 0.2489 0.2388
0.0090 0.0090 0.9585
0.7530 0.7530 0.7168
```

- space-group type = Cm (8)

---

(y)
## SrRuPt2 (PBE)

Data for a relaxed SrRuPt2 crystal.

```
SrRuPt2
1.0
-4.5793 -1.5438 1.8941
0.9402 -1.9322 4.7247
0.8274 4.5345 -2.3862
Sr Pt Ru
1 2 1
direct
0.2500 0.7500 0.5000
0.9682 0.9682 0.0000
0.5318 0.5318 0.0000
0.7500 0.2500 0.5000
```

- space-group type = Immm (71)

---

(z)
## SrRuPt2 (PBE)

Data for a relaxed SrRuPt2 crystal.

```
SrRuPt2
1.0
5.1062 0.0056 -0.0050
-3.5205 5.6490 0.0210
0.0016 1.4814 2.4957
Pt Sr Ru
2 1 1
direct
0.0000 0.5000 0.5000
0.0000 0.0000 0.0000
0.5000 0.0000 0.5000
0.5000 0.5000 0.0000
```

- space-group type = Cmmm (65)

---

Most stable: (w) (next structure +31 meV/atom)